DFT (GGA-PBE) results for crystalline Ge2Te2Cl at its relaxed geometry.

a = 4.917 Å, b = 4.917 Å, c = 12.514 Å
α = 90.00°, β = 90.00°, γ = 90.00°
Space group I4/mmm (No. 139)
One atom of each set of equivalent atoms:
Ge (0.000, 0.500, 0.250) [4 per cell]
Te (0.000, 0.000, 0.141) [4 per cell]
Cl (0.000, 0.000, 0.500) [2 per cell]

## Properties
The calculation puts the uncorrected formation energy at -0.059 eV per atom. Its total magnetization is 0.0 μB/cell.



DFT (GGA-PBE) results for crystalline LiPu2P at its relaxed geometry.

a = 3.564 Å, b = 3.564 Å, c = 4.668 Å
α = 90.00°, β = 90.00°, γ = 90.00°
Space group P4/mmm (No. 123)
One atom of each set of equivalent atoms:
Li (0.000, 0.000, 0.000) [1 per cell]
Pu (0.000, 0.500, 0.500) [2 per cell]
P (0.500, 0.500, 0.000) [1 per cell]

## Properties
The value obtained for the energy of formation is -52.5 meV/atom. Its total magnetization is 0.8 μB/cell.



DFT (GGA-PBE) results for crystalline HfCdNi at its relaxed geometry.

a = 3.229 Å, b = 16.532 Å, c = 4.050 Å
α = 90.00°, β = 90.00°, γ = 90.00°
Space group Cmcm (No. 63)
One atom of each set of equivalent atoms:
Hf (0.000, 0.084, 0.250) [4 per cell]
Cd (0.000, 0.295, 0.250) [4 per cell]
Ni (0.000, 0.455, 0.250) [4 per cell]

## Properties
The value obtained for the energy of formation is -353.6 meV/atom. Its total magnetization is 0.0 μB/cell.



DFT (GGA-PBE) results for crystalline MnAlAs2 at its relaxed geometry.

a = 2.955 Å, b = 2.955 Å, c = 7.103 Å
α = 90.00°, β = 90.00°, γ = 90.00°
Space group P4/mmm (No. 123)
One atom of each set of equivalent atoms:
Mn (0.000, 0.000, 0.000) [1 per cell]
Al (0.000, 0.000, 0.500) [1 per cell]
As (0.500, 0.500, 0.204) [2 per cell]

## Properties
The value obtained for the energy of formation is 57.6 meV/atom. Its total magnetization is 0.0 μB/cell.



DFT (GGA-PBE) results for crystalline BaY2P at its relaxed geometry.

a = 4.840 Å, b = 4.840 Å, c = 4.655 Å
α = 90.00°, β = 90.00°, γ = 90.00°
Space group P4/mmm (No. 123)
One atom of each set of equivalent atoms:
Ba (0.000, 0.000, 0.000) [1 per cell]
Y (0.000, 0.500, 0.500) [2 per cell]
P (0.500, 0.500, 0.000) [1 per cell]

## Properties
The value obtained for the energy of formation is -98.1 meV/atom. Its total magnetization is 0.0 μB/cell.



DFT (GGA-PBE) results for crystalline HgOs2Pt at its relaxed geometry.

a = 2.788 Å, b = 4.833 Å, c = 9.900 Å
α = 90.00°, β = 90.00°, γ = 90.00°
Space group Cmm2 (No. 35)
One atom of each set of equivalent atoms:
Hg (0.000, 0.000, 0.000) [2 per cell]
Os (0.000, 0.000, 0.509) [2 per cell]
Os (0.000, 0.500, 0.728) [2 per cell]
Pt (0.000, 0.500, 0.267) [2 per cell]

## Properties
The value obtained for the energy of formation is 578.2 meV/atom. Its total magnetization is 1.8 μB/cell.



DFT (GGA-PBE) results for crystalline Ce3Pb5 at its relaxed geometry.

a = 4.750 Å, b = 4.808 Å, c = 10.388 Å
α = 90.00°, β = 90.00°, γ = 90.00°
Space group Pmmm (No. 47)
One atom of each set of equivalent atoms:
Ce (0.000, 0.000, 0.000) [1 per cell]
Ce (0.500, 0.000, 0.276) [2 per cell]
Pb (0.000, 0.000, 0.500) [1 per cell]
Pb (0.000, 0.500, 0.239) [2 per cell]
Pb (0.500, 0.500, 0.000) [1 per cell]
Pb (0.500, 0.500, 0.500) [1 per cell]

## Properties
The value obtained for the energy of formation is -375.9 meV/atom. Its total magnetization is 3.0 μB/cell.



DFT (GGA-PBE) results for crystalline AuI3F at its relaxed geometry.

a = 5.276 Å, b = 5.276 Å, c = 5.276 Å
α = 90.00°, β = 90.00°, γ = 90.00°
Space group Pm-3m (No. 221)
One atom of each set of equivalent atoms:
Au (0.000, 0.000, 0.000) [1 per cell]
I (0.000, 0.500, 0.500) [3 per cell]
F (0.500, 0.500, 0.500) [1 per cell]

## Properties
The calculation puts the uncorrected formation energy at 0.466 eV per atom. Its total magnetization is 0.0 μB/cell.



DFT (GGA-PBE) results for crystalline La2Dy2Mg15 at its relaxed geometry.

a = 10.6035 Å, b = 10.6035 Å, c = 15.2991 Å
α = 90.00°, β = 90.00°, γ = 120.00°
Space group R-3m (No. 166, hexagonal axes)
One atom of each set of equivalent atoms:
La (0.0000, 0.0000, 0.1671) [6 per cell]
Dy (0.0000, 0.0000, 0.4001) [6 per cell]
Mg (0.0000, 0.2947, 0.5000) [18 per cell]
Mg (0.0000, 0.5000, 0.0000) [9 per cell]
Mg (0.0077, 0.5038, 0.6480) [18 per cell]

## Properties
The value obtained for the energy of formation is -27.2 meV/atom. Its total magnetization is 0.0 μB/cell.



DFT (GGA-PBE) results for crystalline ZrSc3In at its relaxed geometry.

a = 5.291 Å, b = 5.291 Å, c = 5.291 Å
α = 90.00°, β = 90.00°, γ = 90.00°
Space group Pm-3m (No. 221)
One atom of each set of equivalent atoms:
Zr (0.000, 0.000, 0.000) [1 per cell]
Sc (0.000, 0.500, 0.500) [3 per cell]
In (0.500, 0.500, 0.500) [1 per cell]

## Properties
The value obtained for the energy of formation is 708.0 meV/atom. Its total magnetization is 2.1 μB/cell.



DFT (GGA-PBE) results for crystalline Hg2IrPb at its relaxed geometry.

a = 3.211 Å, b = 3.211 Å, c = 9.055 Å
α = 90.00°, β = 90.00°, γ = 90.00°
Space group P4mm (No. 99)
One atom of each set of equivalent atoms:
Hg (0.000, 0.000, 0.000) [1 per cell]
Hg (0.500, 0.500, 0.283) [1 per cell]
Ir (0.000, 0.000, 0.482) [1 per cell]
Pb (0.500, 0.500, 0.682) [1 per cell]

## Properties
The value obtained for the energy of formation is 277.1 meV/atom. Its total magnetization is 0.0 μB/cell.



DFT (GGA-PBE) results for crystalline Ta2CdPt at its relaxed geometry.

a = 2.8946 Å, b = 2.8946 Å, c = 29.7045 Å
α = 90.00°, β = 90.00°, γ = 120.00°
Space group R-3m (No. 166, hexagonal axes)
One atom of each set of equivalent atoms:
Ta (0.0000, 0.0000, 0.2448) [6 per cell]
Cd (0.0000, 0.0000, 0.0000) [3 per cell]
Pt (0.0000, 0.0000, 0.5000) [3 per cell]

## Properties
The value obtained for the energy of formation is -32.6 meV/atom. Its total magnetization is 0.0 μB/cell.



DFT (GGA-PBE) results for crystalline BaTcPS2 at its relaxed geometry.

a = 4.973 Å, b = 4.973 Å, c = 4.543 Å
α = 90.00°, β = 90.00°, γ = 90.00°
Space group P4/mmm (No. 123)
One atom of each set of equivalent atoms:
Ba (0.000, 0.000, 0.000) [1 per cell]
Tc (0.500, 0.500, 0.500) [1 per cell]
P (0.500, 0.500, 0.000) [1 per cell]
S (0.000, 0.500, 0.500) [2 per cell]

## Properties
The calculation puts the uncorrected formation energy at -0.633 eV per atom. Its total magnetization is 1.4 μB/cell.



DFT (GGA-PBE) results for crystalline Pu2GaFe at its relaxed geometry.

a = 7.191 Å, b = 7.008 Å, c = 6.780 Å
α = 90.00°, β = 90.00°, γ = 90.00°
Space group Pnma (No. 62)
One atom of each set of equivalent atoms:
Pu (0.170, 0.002, 0.159) [8 per cell]
Ga (0.002, 0.250, 0.510) [4 per cell]
Fe (0.163, 0.250, 0.864) [4 per cell]

## Properties
The value obtained for the energy of formation is -108.4 meV/atom. Its total magnetization is 39.3 μB/cell.



DFT (GGA-PBE) results for crystalline TmTiCuRu at its relaxed geometry.

a = 6.478 Å, b = 6.478 Å, c = 6.478 Å
α = 90.00°, β = 90.00°, γ = 90.00°
Space group F-43m (No. 216)
One atom of each set of equivalent atoms:
Tm (0.000, 0.000, 0.000) [4 per cell]
Ti (0.000, 0.000, 0.500) [4 per cell]
Cu (0.250, 0.250, 0.750) [4 per cell]
Ru (0.250, 0.250, 0.250) [4 per cell]

## Properties
The value obtained for the energy of formation is -283.9 meV/atom. Its total magnetization is 0.0 μB/cell.



DFT (GGA-PBE) results for crystalline MnTcRu2 at its relaxed geometry.

a = 3.710 Å, b = 3.710 Å, c = 17.443 Å
α = 90.00°, β = 90.00°, γ = 90.00°
Space group I-42d (No. 122)
One atom of each set of equivalent atoms:
Mn (0.000, 0.000, 0.000) [4 per cell]
Tc (0.000, 0.000, 0.500) [4 per cell]
Ru (0.224, 0.250, 0.125) [8 per cell]

## Properties
The value obtained for the energy of formation is 621.0 meV/atom. Its total magnetization is 8.3 μB/cell.



DFT (GGA-PBE) results for crystalline Na4CuTe3Se8 at its relaxed geometry.

a = 14.999 Å, b = 7.861 Å, c = 7.145 Å
α = 90.00°, β = 96.98°, γ = 90.00°
Space group C2/m (No. 12)
One atom of each set of equivalent atoms:
Na (0.000, 0.000, 0.000) [2 per cell]
Na (0.000, 0.500, 0.000) [2 per cell]
Na (0.250, 0.250, 0.500) [4 per cell]
Cu (0.000, 0.000, 0.500) [2 per cell]
Te (0.000, 0.500, 0.500) [2 per cell]
Te (0.250, 0.250, 0.000) [4 per cell]
Se (0.081, 0.225, 0.700) [8 per cell]
Se (0.169, 0.500, 0.208) [4 per cell]
Se (0.175, 0.000, 0.213) [4 per cell]

## Properties
The calculation puts the uncorrected formation energy at -0.421 eV per atom. Its total magnetization is 0.0 μB/cell.



DFT (GGA-PBE) results for crystalline TePt2W at its relaxed geometry.

a = 2.866 Å, b = 4.487 Å, c = 5.949 Å
α = 90.00°, β = 103.74°, γ = 90.00°
Space group Pm (No. 6)
One atom of each set of equivalent atoms:
Te (0.000, 0.000, 0.000) [1 per cell]
Pt (0.129, 0.500, 0.268) [1 per cell]
Pt (0.264, 0.000, 0.540) [1 per cell]
W (0.831, 0.500, 0.676) [1 per cell]

## Properties
The calculation puts the uncorrected formation energy at 0.210 eV per atom. Its total magnetization is 0.0 μB/cell.



DFT (GGA-PBE) results for crystalline TiGa4 at its relaxed geometry.

a = 5.028 Å, b = 5.028 Å, c = 5.028 Å
α = 90.00°, β = 90.00°, γ = 90.00°
Space group Pm-3m (No. 221)
One atom of each set of equivalent atoms:
Ti (0.000, 0.000, 0.000) [1 per cell]
Ga (0.000, 0.000, 0.500) [3 per cell]
Ga (0.500, 0.500, 0.500) [1 per cell]

## Properties
The value obtained for the energy of formation is 441.4 meV/atom. Its total magnetization is 1.1 μB/cell.



DFT (GGA-PBE) results for crystalline CrNiTe2C at its relaxed geometry.

a = 4.933 Å, b = 4.933 Å, c = 4.354 Å
α = 90.00°, β = 90.00°, γ = 90.00°
Space group P4/mmm (No. 123)
One atom of each set of equivalent atoms:
Cr (0.000, 0.000, 0.000) [1 per cell]
Ni (0.000, 0.000, 0.500) [1 per cell]
Te (0.000, 0.500, 0.500) [2 per cell]
C (0.500, 0.500, 0.000) [1 per cell]

## Properties
The calculation puts the uncorrected formation energy at 2.010 eV per atom. Its total magnetization is 0.6 μB/cell.